No. 1
# PBE BaCuS2O8, optimized geometry
data_BaCuS2O8
_chemical_formula_sum 'Ba3 Cu3 S6 O24'
_cell_length_a 4.9286
_cell_length_b 4.9286
_cell_length_c 22.6158
_cell_angle_alpha 90.00
_cell_angle_beta 90.00
_cell_angle_gamma 120.00
_symmetry_space_group_name_H-M 'R -3'
_symmetry_Int_Tables_number 148
_symmetry_space_group_name_Hall '-R 3'
loop_
_atom_site_label
_atom_site_fract_x
_atom_site_fract_y
_atom_site_fract_z
_atom_site_occupancy
Ba1 0.0000 0.0000 0.0000 1
Cu1 0.0000 0.0000 0.5000 1
S1 0.0000 0.0000 0.2420 1
O1 0.0000 0.0000 0.3086 1
O2 0.0164 0.7198 0.2225 1
# spin magnetization: 1.00 μB per formula unit
# DOS at the Fermi energy: 0.48 states/eV per atom
# total DFT energy (no corrections): -6.09 eV per atom
# formation energy (no corrections): -1.598 eV per atom

***

No. 2
# PBE Ba2CuSO2, optimized geometry
data_Ba2CuSO2
_chemical_formula_sum 'Ba2 Cu1 S1 O2'
_cell_length_a 4.012
_cell_length_b 4.012
_cell_length_c 7.424
_cell_angle_alpha 90.00
_cell_angle_beta 90.00
_cell_angle_gamma 90.00
_symmetry_space_group_name_H-M 'P 4/m m m'
_symmetry_Int_Tables_number 123
_symmetry_space_group_name_Hall '-P 4 2'
loop_
_atom_site_label
_atom_site_fract_x
_atom_site_fract_y
_atom_site_fract_z
_atom_site_occupancy
Ba1 0.000 0.000 0.245 1
Cu1 0.500 0.500 0.500 1
S1 0.500 0.500 0.000 1
O1 0.000 0.500 0.500 1
# spin magnetization: 0.22 μB per formula unit
# DOS at the Fermi energy: 0.41 states/eV per atom
# total DFT energy (no corrections): -5.40 eV per atom
# formation energy (no corrections): -1.740 eV per atom

***

No. 3
# PBE BaCuSO, optimized geometry
data_BaCuSO
_chemical_formula_sum 'Ba4 Cu4 S4 O4'
_cell_length_a 3.961
_cell_length_b 12.734
_cell_length_c 6.141
_cell_angle_alpha 90.00
_cell_angle_beta 90.00
_cell_angle_gamma 90.00
_symmetry_space_group_name_H-M 'C m c m'
_symmetry_Int_Tables_number 63
_symmetry_space_group_name_Hall '-C 2c 2'
loop_
_atom_site_label
_atom_site_fract_x
_atom_site_fract_y
_atom_site_fract_z
_atom_site_occupancy
Ba1 0.000 0.105 0.250 1
Cu1 0.000 0.397 0.250 1
S1 0.000 0.186 0.750 1
O1 0.000 0.500 0.000 1
# spin magnetization: 0.00 μB per formula unit
# DOS at the Fermi energy: 0.70 states/eV per atom
# distance to the lowest polymorph of the same formula: 0.000 eV/atom
# total DFT energy (no corrections): -5.16 eV per atom
# formation energy (no corrections): -1.384 eV per atom

***

No. 4
# PBE Ba2CuSO, optimized geometry
data_Ba2CuSO
_chemical_formula_sum 'Ba2 Cu1 S1 O1'
_cell_length_a 5.760
_cell_length_b 5.760
_cell_length_c 4.202
_cell_angle_alpha 90.00
_cell_angle_beta 90.00
_cell_angle_gamma 90.00
_symmetry_space_group_name_H-M 'P 4/m m m'
_symmetry_Int_Tables_number 123
_symmetry_space_group_name_Hall '-P 4 2'
loop_
_atom_site_label
_atom_site_fract_x
_atom_site_fract_y
_atom_site_fract_z
_atom_site_occupancy
Ba1 0.000 0.500 0.000 1
Cu1 0.000 0.000 0.000 1
S1 0.000 0.000 0.500 1
O1 0.500 0.500 0.500 1
# spin magnetization: 0.00 μB per formula unit
# DOS at the Fermi energy: 0.47 states/eV per atom
# total DFT energy (no corrections): -4.10 eV per atom
# formation energy (no corrections): -0.695 eV per atom

***

No. 5
# PBE BaCuSO, optimized geometry
data_BaCuSO
_chemical_formula_sum 'Ba2 Cu2 S2 O2'
_cell_length_a 4.709
_cell_length_b 5.888
_cell_length_c 6.603
_cell_angle_alpha 73.21
_cell_angle_beta 73.96
_cell_angle_gamma 87.38
_symmetry_space_group_name_H-M 'P 1'
_symmetry_Int_Tables_number 1
loop_
_symmetry_equiv_pos_as_xyz
'x,y,z'
loop_
_atom_site_label
_atom_site_fract_x
_atom_site_fract_y
_atom_site_fract_z
_atom_site_occupancy
Ba1 0.000 0.000 0.000 1
Ba2 0.451 0.427 0.238 1
Cu1 0.248 0.595 0.753 1
Cu2 0.836 0.621 0.575 1
S1 0.177 0.893 0.476 1
S2 0.577 0.298 0.710 1
O1 0.018 0.545 0.058 1
O2 0.425 0.915 0.231 1
# spin magnetization: 0.00 μB per formula unit
# DOS at the Fermi energy: 0.00 states/eV per atom
# distance to the lowest polymorph of the same formula: 0.029 eV/atom
# total DFT energy (no corrections): -5.13 eV per atom
# formation energy (no corrections): -1.355 eV per atom

***

No. 6
# PBE Ba2YCu3SO6, optimized geometry
data_Ba2YCu3SO6
_chemical_formula_sum 'Ba2 Y1 Cu3 S1 O6'
_cell_length_a 3.811
_cell_length_b 4.158
_cell_length_c 12.337
_cell_angle_alpha 90.00
_cell_angle_beta 90.00
_cell_angle_gamma 90.00
_symmetry_space_group_name_H-M 'P m m m'
_symmetry_Int_Tables_number 47
loop_
_symmetry_equiv_pos_as_xyz
'x,y,z'
'-x,-y,-z'
'-x,-y,z'
'x,y,-z'
'x,-y,-z'
'-x,y,z'
'-x,y,-z'
'x,-y,z'
loop_
_atom_site_label
_atom_site_fract_x
_atom_site_fract_y
_atom_site_fract_z
_atom_site_occupancy
Ba1 0.000 0.000 0.203 1
Y1 0.000 0.000 0.500 1
Cu1 0.500 0.500 0.000 1
Cu2 0.500 0.500 0.369 1
S1 0.500 0.000 0.000 1
O1 0.000 0.500 0.387 1
O2 0.500 0.000 0.381 1
O3 0.500 0.500 0.155 1
# spin magnetization: 0.05 μB per formula unit
# DOS at the Fermi energy: 0.35 states/eV per atom
# total DFT energy (no corrections): -5.99 eV per atom
# formation energy (no corrections): -1.641 eV per atom

***

No. 7
# PBE Ba3CuSb2O9, optimized geometry
data_Ba3CuSb2O9
_chemical_formula_sum 'Ba3 Cu1 Sb2 O9'
_cell_length_a 5.8451
_cell_length_b 5.8451
_cell_length_c 7.1984
_cell_angle_alpha 90.00
_cell_angle_beta 90.00
_cell_angle_gamma 120.00
_symmetry_space_group_name_H-M 'P -3 m 1'
_symmetry_Int_Tables_number 164
_symmetry_space_group_name_Hall '-P 3 2"'
loop_
_atom_site_label
_atom_site_fract_x
_atom_site_fract_y
_atom_site_fract_z
_atom_site_occupancy
Ba1 0.0000 0.0000 0.0000 1
Ba2 0.3333 0.6667 0.6549 1
Cu1 0.0000 0.0000 0.5000 1
Sb1 0.3333 0.6667 0.1726 1
O1 0.0000 0.5000 0.0000 1
O2 0.1701 0.3401 0.3256 1
# spin magnetization: 1.06 μB per formula unit
# DOS at the Fermi energy: 0.12 states/eV per atom
# distance to the lowest polymorph of the same formula: 0.009 eV/atom
# total DFT energy (no corrections): -6.09 eV per atom
# formation energy (no corrections): -1.910 eV per atom

***

No. 8
# PBE Ba3CuSb2O9, optimized geometry
data_Ba3CuSb2O9
_chemical_formula_sum 'Ba6 Cu2 Sb4 O18'
_cell_length_a 5.8853
_cell_length_b 5.8853
_cell_length_c 14.5716
_cell_angle_alpha 90.00
_cell_angle_beta 90.00
_cell_angle_gamma 120.00
_symmetry_space_group_name_H-M 'P 63 m c'
_symmetry_Int_Tables_number 186
_symmetry_space_group_name_Hall 'P 6c -2c'
loop_
_atom_site_label
_atom_site_fract_x
_atom_site_fract_y
_atom_site_fract_z
_atom_site_occupancy
Ba1 0.0000 0.0000 0.0000 1
Ba2 0.3333 0.6667 0.1675 1
Ba3 0.3333 0.6667 0.8627 1
Cu1 0.3333 0.6667 0.4041 1
Sb1 0.0000 0.0000 0.2570 1
Sb2 0.3333 0.6667 0.5921 1
O1 0.0207 0.5103 0.5104 1
O2 0.1615 0.3230 0.3329 1
O3 0.1656 0.3313 0.6716 1
# spin magnetization: 1.03 μB per formula unit
# DOS at the Fermi energy: 0.10 states/eV per atom
# distance to the lowest polymorph of the same formula: 0.000 eV/atom
# total DFT energy (no corrections): -6.10 eV per atom
# formation energy (no corrections): -1.919 eV per atom

***

No. 9
# PBE Ba2Cu2SbO6, optimized geometry
data_Ba2Cu2SbO6
_chemical_formula_sum 'Ba6 Cu6 Sb3 O18'
_cell_length_a 6.0038
_cell_length_b 6.0038
_cell_length_c 16.2173
_cell_angle_alpha 90.00
_cell_angle_beta 90.00
_cell_angle_gamma 120.00
_symmetry_space_group_name_H-M 'R -3 m'
_symmetry_Int_Tables_number 166
_symmetry_space_group_name_Hall '-R 3 2"'
loop_
_atom_site_label
_atom_site_fract_x
_atom_site_fract_y
_atom_site_fract_z
_atom_site_occupancy
Ba1 0.0000 0.0000 0.2228 1
Cu1 0.0000 0.0000 0.4154 1
Sb1 0.0000 0.0000 0.0000 1
O1 0.0321 0.5160 0.7461 1
# spin magnetization: 1.06 μB per formula unit
# DOS at the Fermi energy: 0.61 states/eV per atom
# total DFT energy (no corrections): -5.80 eV per atom
# formation energy (no corrections): -1.630 eV per atom

***

No. 10
# PBE Ba2CuSbO, optimized geometry
data_Ba2CuSbO
_chemical_formula_sum 'Ba4 Cu2 Sb2 O2'
_cell_length_a 7.206
_cell_length_b 4.409
_cell_length_c 9.204
_cell_angle_alpha 90.00
_cell_angle_beta 108.53
_cell_angle_gamma 90.00
_symmetry_space_group_name_H-M 'P 1 21/m 1'
_symmetry_Int_Tables_number 11
loop_
_symmetry_equiv_pos_as_xyz
'x,y,z'
'-x,-y,-z'
'-x,y+1/2,-z'
'x,-y+1/2,z'
loop_
_atom_site_label
_atom_site_fract_x
_atom_site_fract_y
_atom_site_fract_z
_atom_site_occupancy
Ba1 0.206 0.250 0.380 1
Ba2 0.215 0.250 0.969 1
Cu1 0.458 0.750 0.242 1
Sb1 0.334 0.750 0.702 1
O1 0.165 0.750 0.161 1
# spin magnetization: 0.00 μB per formula unit
# DOS at the Fermi energy: 0.01 states/eV per atom
# total DFT energy (no corrections): -4.74 eV per atom
# formation energy (no corrections): -1.335 eV per atom

***

No. 11
# PBE BaYCuSbO5, optimized geometry
data_BaYCuSbO5
_chemical_formula_sum 'Ba1 Y1 Cu1 Sb1 O5'
_cell_length_a 4.125
_cell_length_b 4.125
_cell_length_c 7.833
_cell_angle_alpha 90.00
_cell_angle_beta 90.00
_cell_angle_gamma 90.00
_symmetry_space_group_name_H-M 'P 4 m m'
_symmetry_Int_Tables_number 99
loop_
_symmetry_equiv_pos_as_xyz
'x,y,z'
'-y,x,z'
'-x,-y,z'
'y,-x,z'
'-x,y,z'
'y,x,z'
'x,-y,z'
'-y,-x,z'
loop_
_atom_site_label
_atom_site_fract_x
_atom_site_fract_y
_atom_site_fract_z
_atom_site_occupancy
Ba1 0.000 0.000 0.000 1
Y1 0.000 0.000 0.439 1
Cu1 0.500 0.500 0.288 1
Sb1 0.500 0.500 0.684 1
O1 0.000 0.500 0.284 1
O2 0.000 0.500 0.655 1
O3 0.500 0.500 0.936 1
# spin magnetization: 0.00 μB per formula unit
# DOS at the Fermi energy: 0.17 states/eV per atom
# total DFT energy (no corrections): -6.59 eV per atom
# formation energy (no corrections): -1.994 eV per atom

***

No. 12
# PBE Ba3ScCu2O6, optimized geometry
data_Ba3ScCu2O6
_chemical_formula_sum 'Ba3 Sc1 Cu2 O6'
_cell_length_a 6.0320
_cell_length_b 6.0320
_cell_length_c 6.8252
_cell_angle_alpha 90.00
_cell_angle_beta 90.00
_cell_angle_gamma 120.00
_symmetry_space_group_name_H-M 'P -3 m 1'
_symmetry_Int_Tables_number 164
_symmetry_space_group_name_Hall '-P 3 2"'
loop_
_atom_site_label
_atom_site_fract_x
_atom_site_fract_y
_atom_site_fract_z
_atom_site_occupancy
Ba1 0.0000 0.0000 0.0000 1
Ba2 0.3333 0.6667 0.6548 1
Sc1 0.0000 0.0000 0.5000 1
Cu1 0.3333 0.6667 0.2184 1
O1 0.1612 0.3225 0.3106 1
# spin magnetization: 0.98 μB per formula unit
# DOS at the Fermi energy: 0.72 states/eV per atom
# total DFT energy (no corrections): -6.20 eV per atom
# formation energy (no corrections): -2.033 eV per atom

***

- Among the records above, which one has the lowest formation energy (no corrections)?
  Ba3ScCu2O6

***

Please write out number 9 again, unchanged.
# PBE Ba2Cu2SbO6, optimized geometry
data_Ba2Cu2SbO6
_chemical_formula_sum 'Ba6 Cu6 Sb3 O18'
_cell_length_a 6.0038
_cell_length_b 6.0038
_cell_length_c 16.2173
_cell_angle_alpha 90.00
_cell_angle_beta 90.00
_cell_angle_gamma 120.00
_symmetry_space_group_name_H-M 'R -3 m'
_symmetry_Int_Tables_number 166
_symmetry_space_group_name_Hall '-R 3 2"'
loop_
_atom_site_label
_atom_site_fract_x
_atom_site_fract_y
_atom_site_fract_z
_atom_site_occupancy
Ba1 0.0000 0.0000 0.2228 1
Cu1 0.0000 0.0000 0.4154 1
Sb1 0.0000 0.0000 0.0000 1
O1 0.0321 0.5160 0.7461 1
# spin magnetization: 1.06 μB per formula unit
# DOS at the Fermi energy: 0.61 states/eV per atom
# total DFT energy (no corrections): -5.80 eV per atom
# formation energy (no corrections): -1.630 eV per atom

***

- Look up the total DFT energy (no corrections) of the seventh one.
  -6.09 eV per atom